[1]
La2Ir7: optimized geometry, PBE.

Cell lengths 5.396, 5.396, 26.499 Å; angles 90.00, 90.00, 120.00 degrees
Sites, in units of the cell vectors:
La  0.667  0.333  0.971
Ir  0.834  0.166  0.087
La  0.667  0.333  0.529
La  0.333  0.667  0.471
Ir  0.168  0.336  0.750
La  0.333  0.667  0.029
Ir  0.336  0.168  0.250
Ir  0.166  0.331  0.587
Ir  0.669  0.834  0.587
Ir  0.667  0.333  0.167
La  0.333  0.667  0.326
Ir  0.834  0.669  0.413
Ir  0.333  0.667  0.833
Ir  0.000  0.000  0.832
Ir  0.166  0.834  0.587
Ir  0.168  0.832  0.750
La  0.667  0.333  0.826
Ir  0.000  0.000  0.332
Ir  0.832  0.664  0.250
Ir  0.331  0.166  0.087
Ir  0.834  0.669  0.087
Ir  0.166  0.834  0.913
Ir  0.000  0.000  0.168
Ir  0.834  0.166  0.413
La  0.667  0.333  0.674
Ir  0.832  0.168  0.250
Ir  0.000  0.000  0.668
La  0.333  0.667  0.174
Ir  0.000  0.000  0.000
Ir  0.667  0.333  0.333
Ir  0.000  0.000  0.500
Ir  0.333  0.667  0.667
Ir  0.664  0.832  0.750
Ir  0.166  0.331  0.913
Ir  0.331  0.166  0.413
Ir  0.669  0.834  0.913

N(E_F) = 0.994 states/eV/atom
calculated volume = 668.28 Å³ per cell
polymorph energy (0 for the lowest one) = 0 meV/atom
spin magnetization = 0.0 μB per cell
formation energy = -459.2 meV/atom
symmetry = P6_3/mmc, No. 194

=====

[2]
La8Ir: optimized geometry, PBE.

Cell lengths 9.211, 9.211, 9.211 Å; angles 92.32, 92.32, 156.79 degrees
Sites, in units of the cell vectors:
La  0.666  0.000  0.666
La  0.639  0.361  0.000
La  0.334  0.000  0.334
La  0.000  0.666  0.666
La  0.361  0.361  0.722
La  0.000  0.334  0.334
Ir  0.000  0.000  0.000
La  0.639  0.639  0.278
La  0.361  0.639  0.000

N(E_F) = 1.577 states/eV/atom
calculated volume = 301.70 Å³ per cell
spin magnetization = 0.0 μB per cell
formation energy = -75.2 meV/atom
symmetry = I4/mmm, No. 139

=====

[3]
La7Ir: optimized geometry, PBE.

Cell lengths 7.044, 7.044, 7.044 Å; angles 60.00, 60.00, 60.00 degrees
Sites, in units of the cell vectors:
La  0.500  0.000  0.000
La  0.500  0.000  0.500
La  0.000  0.500  0.500
La  0.500  0.500  0.500
La  0.500  0.500  0.000
Ir  0.000  0.000  0.000
La  0.000  0.500  0.000
La  0.000  0.000  0.500

N(E_F) = 1.478 states/eV/atom
calculated volume = 247.18 Å³ per cell
spin magnetization = 0.0 μB per cell
formation energy = 65.6 meV/atom
symmetry = Fm-3m, No. 225

=====

[4]
LiLa2Ir2: optimized geometry, PBE.

Cell lengths 7.808, 7.808, 3.854 Å; angles 90.00, 90.00, 90.00 degrees
Sites, in units of the cell vectors:
La  0.662  0.838  0.500
Ir  0.139  0.361  0.000
Li  0.000  0.000  0.000
La  0.338  0.162  0.500
Ir  0.639  0.139  0.000
Li  0.500  0.500  0.000
Ir  0.361  0.861  0.000
La  0.838  0.338  0.500
Ir  0.861  0.639  0.000
La  0.162  0.662  0.500

N(E_F) = 0.907 states/eV/atom
calculated volume = 234.97 Å³ per cell
polymorph energy (0 for the lowest one) = 88 meV/atom
spin magnetization = 0.0 μB per cell
formation energy = -499.6 meV/atom
symmetry = P4/mbm, No. 127

=====

[5]
LiLaIr2: optimized geometry, PBE.

Cell lengths 5.135, 5.436, 2.958 Å; angles 75.86, 86.62, 117.15 degrees
Sites, in units of the cell vectors:
Ir  0.000  0.000  0.000
La  0.000  0.500  0.500
Ir  0.500  0.000  0.500
Li  0.500  0.500  0.000

N(E_F) = 0.523 states/eV/atom
calculated volume = 69.86 Å³ per cell
spin magnetization = 0.0 μB per cell
formation energy = -111.8 meV/atom
symmetry = C2/m, No. 12

=====

[6]
LiLaIr2: optimized geometry, PBE.

Cell lengths 4.166, 4.169, 4.139 Å; angles 90.00, 90.00, 90.00 degrees
Sites, in units of the cell vectors:
Li  0.000  0.500  0.500
La  0.500  0.000  0.500
Ir  0.500  0.500  0.000
Ir  0.000  0.000  0.000

N(E_F) = 0.535 states/eV/atom
calculated volume = 71.89 Å³ per cell
spin magnetization = 0.0 μB per cell
formation energy = -248.8 meV/atom
symmetry = P4/mmm, No. 123

=====

[7]
LiLaIr2: optimized geometry, PBE.

Cell lengths 2.957, 4.160, 5.860 Å; angles 90.00, 90.00, 90.00 degrees
Sites, in units of the cell vectors:
Li  0.500  0.500  0.800
La  0.000  0.000  0.490
Ir  0.000  0.000  0.006
Ir  0.500  0.500  0.205

N(E_F) = 0.927 states/eV/atom
calculated volume = 72.08 Å³ per cell
spin magnetization = 0.0 μB per cell
formation energy = -49.4 meV/atom
symmetry = Pmm2, No. 25

=====

[8]
LiLaIr2: optimized geometry, PBE.

Cell lengths 4.528, 2.986, 5.392 Å; angles 78.38, 90.00, 90.00 degrees
Sites, in units of the cell vectors:
Ir  0.000  0.885  0.030
Ir  0.500  0.267  0.166
Li  0.500  0.887  0.781
La  0.000  0.461  0.523

N(E_F) = 0.914 states/eV/atom
calculated volume = 71.40 Å³ per cell
spin magnetization = 0.0 μB per cell
formation energy = -102.6 meV/atom
symmetry = Pm, No. 6